[1]
Material: CoAg2Br
Method: DFT, GGA-PBEsol
State: relaxed

Calculated values
final energy	-3.680	eV/atom
energy relative to the elements, uncorrected	1.5	eV/f.u.
space group	No. 8
V	78.9	Å³/cell

Lattice parameters (Å, degrees): 3.0093 4.5907 6.3489 106.85 90.00 109.13
With the nearest neighbours (Å) after each atom.
Element x y z (fractional)
Co 0.7971 0.5943 0.1784  2 Br 2.34, 3 Ag 2.56-2.61
Br 0.3942 0.7885 0.4726  2 Co 2.34
Ag 0.0412 0.0823 0.0315  3 Co 2.56-2.61, 3 Ag 2.71-2.79
Ag 0.2675 0.5349 0.8176  2 Co 2.69, 3 Ag 2.71-2.79, 1 Br 2.74


[2]
Material: Ho3Ge3Ir2
Method: DFT, GGA-PBEsol
State: relaxed

Calculated values
final energy	-7.128	eV/atom
space group	No. 63
E_form	-0.9634	eV/atom
V	308.5	Å³/cell

Lattice parameters (Å, degrees): 4.2716 5.5704 14.0388 90.00 90.00 112.55
With the nearest neighbours (Å) after each atom.
Element x y z (fractional)
Ho 0.0838 0.1675 0.3895  4 Ir 2.93-3.22, 7 Ge 2.98-3.20
Ho 0.9162 0.8325 0.6105  4 Ir 2.93-3.22, 7 Ge 2.98-3.20
Ho 0.9162 0.8325 0.8895  4 Ir 2.93-3.22, 7 Ge 2.98-3.20
Ho 0.0838 0.1675 0.1105  4 Ir 2.93-3.22, 7 Ge 2.98-3.20
Ho 0.3570 0.7139 0.2500  5 Ge 2.98-3.07, 4 Ir 3.03
Ho 0.6430 0.2861 0.7500  5 Ge 2.98-3.07, 4 Ir 3.03
Ge 0.6549 0.3097 0.2500  2 Ir 2.55
Ge 0.3451 0.6903 0.7500  2 Ir 2.55
Ge 0.6230 0.2459 0.9648  3 Ir 2.47-2.65, 1 Ge 2.72
Ge 0.3770 0.7541 0.0352  3 Ir 2.47-2.65, 1 Ge 2.72
Ge 0.3770 0.7541 0.4648  3 Ir 2.47-2.65, 1 Ge 2.72
Ge 0.6230 0.2459 0.5352  3 Ir 2.47-2.65, 1 Ge 2.72
Ir 0.2005 0.4010 0.8976  4 Ge 2.47-2.65
Ir 0.7995 0.5990 0.1024  4 Ge 2.47-2.65
Ir 0.7995 0.5990 0.3976  4 Ge 2.47-2.65
Ir 0.2005 0.4010 0.6024  4 Ge 2.47-2.65


[3]
Material: YTiB2
Method: DFT, GGA-PBEsol
State: relaxed

Calculated values
final energy	-7.062	eV/atom
space group	No. 225
E_form	0.2323	eV/atom
V	53.0	Å³/cell

Lattice parameters (Å, degrees): 4.2165 4.2165 4.2165 60.00 60.00 60.00
With the nearest neighbours (Å) after each atom.
Element x y z (fractional)
Y 0.5000 0.5000 0.5000  8 B 2.58
B 0.2500 0.2500 0.2500  4 Ti 2.58, 4 Y 2.58
B 0.7500 0.7500 0.7500  4 Ti 2.58, 4 Y 2.58
Ti 0.0000 0.0000 0.0000  8 B 2.58


[4]
Material: Ba2TeBr
Method: DFT, GGA-PBEsol
State: relaxed

Calculated values
final energy	-4.127	eV/atom
energy relative to the elements, uncorrected	-6.8	eV/f.u.
space group	No. 123
V	154.3	Å³/cell

Lattice parameters (Å, degrees): 4.7859 4.7859 6.7385 90.00 90.00 90.00
With the nearest neighbours (Å) after each atom.
Element x y z (fractional)
Te 0.5000 0.5000 0.5000  6 Ba 3.37-3.38
Ba 0.0000 0.0000 0.5000  2 Br 3.37, 4 Te 3.38
Ba 0.5000 0.5000 0.0000  2 Te 3.37, 4 Br 3.38
Br 0.0000 0.0000 0.0000  6 Ba 3.37-3.38


[5]
Material: BaIn2Pt
Method: DFT, GGA-PBEsol
State: relaxed

Calculated values
final energy	-4.133	eV/atom
space group	No. 99
E_form	-0.3633	eV/atom
V	102.5	Å³/cell

Lattice parameters (Å, degrees): 3.6148 3.6148 7.8415 90.00 90.00 90.00
With the nearest neighbours (Å) after each atom.
Element x y z (fractional)
Ba 0.5000 0.5000 0.7209  5 In 3.36-3.66, 4 Pt 3.42, 4 Ba 3.61
In 0.0000 0.0000 0.0555  1 Pt 2.95, 4 In 3.16
In 0.5000 0.5000 0.2921  4 Pt 2.78
Pt 0.0000 0.0000 0.4315  5 In 2.78-2.95


[6]
Material: Cs2ScAgI6
Method: DFT, GGA-PBEsol
State: relaxed

Calculated values
final energy	-3.391	eV/atom
energy relative to the elements, uncorrected	-11.5	eV/f.u.
space group	No. 225
V	391.9	Å³/cell

Lattice parameters (Å, degrees): 8.2139 8.2139 8.2139 60.00 60.00 60.00
With the nearest neighbours (Å) after each atom.
Element x y z (fractional)
Cs 0.7500 0.7500 0.7500  12 I 4.11
Cs 0.2500 0.2500 0.2500  12 I 4.11
Sc 0.0000 0.0000 0.0000  6 I 2.86
Ag 0.5000 0.5000 0.5000  6 I 2.95
I 0.7536 0.2464 0.2464  1 Sc 2.86, 1 Ag 2.95
I 0.7536 0.7536 0.2464  1 Sc 2.86, 1 Ag 2.95
I 0.2464 0.7536 0.7536  1 Sc 2.86, 1 Ag 2.95
I 0.7536 0.2464 0.7536  1 Sc 2.86, 1 Ag 2.95
I 0.2464 0.7536 0.2464  1 Sc 2.86, 1 Ag 2.95
I 0.2464 0.2464 0.7536  1 Sc 2.86, 1 Ag 2.95


[7]
Material: CdIr3
Method: DFT, GGA-PBEsol
State: relaxed

Calculated values
final energy	-7.100	eV/atom
space group	No. 225
E_form	0.5665	eV/atom
V	61.3	Å³/cell

Lattice parameters (Å, degrees): 4.4248 4.4248 4.4248 60.00 60.00 60.00
With the nearest neighbours (Å) after each atom.
Element x y z (fractional)
Ir 0.2500 0.2500 0.2500  4 Cd 2.71, 4 Ir 2.71
Ir 0.5000 0.5000 0.5000  8 Ir 2.71
Ir 0.7500 0.7500 0.7500  4 Ir 2.71, 4 Cd 2.71
Cd 0.0000 0.0000 0.0000  8 Ir 2.71


[8]
Material: YSc2Ag
Method: DFT, GGA-PBEsol
State: relaxed

Calculated values
final energy	-5.822	eV/atom
space group	No. 119
E_form	0.0136	eV/atom
V	90.1	Å³/cell

Lattice parameters (Å, degrees): 4.4018 4.4018 5.5961 113.16 113.16 90.00
With the nearest neighbours (Å) after each atom.
Element x y z (fractional)
Ag 0.2500 0.7500 0.5000  8 Sc 3.11-3.20, 4 Y 3.20
Sc 0.0000 0.0000 0.0000  4 Y 3.11, 4 Sc 3.20, 4 Ag 3.20
Sc 0.7500 0.2500 0.5000  4 Ag 3.11, 4 Y 3.20, 4 Sc 3.20
Y 0.5000 0.5000 0.0000  8 Sc 3.11-3.20, 4 Ag 3.20